The following is a PBE calculation of a geometry-optimized MoRuPt structure, from the Alexandria database.

Lattice parameters (Å, degrees): 6.0967 6.0967 3.9625 90.00 90.00 142.14
With the nearest neighbours (Å) after each atom.
Atoms (fractional coordinates):
Mo (0.0966, 0.9034, 0.7500)  4 Ru 2.64-2.67, 6 Pt 2.81-2.84
Mo (0.9034, 0.0966, 0.2500)  4 Ru 2.64-2.67, 6 Pt 2.81-2.84
Ru (0.2516, 0.7484, 0.2500)  4 Mo 2.64-2.67, 4 Pt 2.77-2.79, 4 Ru 2.80
Ru (0.7484, 0.2516, 0.7500)  4 Mo 2.64-2.67, 4 Pt 2.77-2.79, 4 Ru 2.80
Pt (0.4194, 0.5806, 0.7500)  2 Pt 2.72, 4 Ru 2.77-2.79, 6 Mo 2.81-2.84
Pt (0.5806, 0.4194, 0.2500)  2 Pt 2.72, 4 Ru 2.77-2.79, 6 Mo 2.81-2.84

Computed properties:
As for the formation energy: -179 meV/atom. The space-group type is Cmcm (63).